Computed, not measured: a relaxed structure of YTiTlSi2 at the GGA-PBE level of DFT.

```
YTiTlSi2
1.0
4.778 0.000 0.000
0.000 4.778 0.000
0.000 0.000 5.197
Y Ti Tl Si
1 1 1 2
Direct
0.000 0.000 0.000
0.500 0.500 0.500
0.500 0.500 0.000
0.000 0.500 0.500
0.500 0.000 0.500
```

The total energy comes out at -26.919 eV for the cell shown. The total magnetization is 0.00 Bohr magnetons per cell. Its uncorrected formation energy is 0.13 eV/atom.